No. 1
First-principles (PBE-GGA) data for crystalline Ac2DyYO6 at its relaxed geometry, as listed in the Alexandria database.

a b c (Å): 6.0404 6.2150 10.5773
angles (deg): 90.00 124.82 90.00
Closest atoms and distances in Å follow each position.
Fractional coordinates of all 20 atoms:
Ac1 0.2354 0.0474 0.2500  4 O 2.48-2.62
Ac2 0.2354 0.4526 0.7500  4 O 2.48-2.62
Ac3 0.7646 0.5474 0.2500  4 O 2.48-2.62
Ac4 0.7646 0.9526 0.7500  4 O 2.48-2.62
Dy1 0.0000 0.0000 0.5000  6 O 2.27-2.30
Dy2 0.0000 0.5000 0.0000  6 O 2.27-2.30
Y1 0.5000 0.0000 0.0000  6 O 2.27-2.31
Y2 0.5000 0.5000 0.5000  6 O 2.27-2.31
O1 0.1345 0.1996 0.9364  1 Y 2.27, 1 Dy 2.28, 1 Ac 2.49
O2 0.1345 0.3004 0.4364  1 Y 2.27, 1 Dy 2.28, 1 Ac 2.49
O3 0.2380 0.6991 0.9366  1 Dy 2.27, 1 Y 2.29, 1 Ac 2.49
O4 0.2380 0.8009 0.4366  1 Dy 2.27, 1 Y 2.29, 1 Ac 2.49
O5 0.3673 0.0513 0.7497  1 Dy 2.30, 1 Y 2.31, 1 Ac 2.48
O6 0.3673 0.4487 0.2497  1 Dy 2.30, 1 Y 2.31, 1 Ac 2.48
O7 0.6327 0.5513 0.7503  1 Dy 2.30, 1 Y 2.31, 1 Ac 2.48
O8 0.6327 0.9487 0.2503  1 Dy 2.30, 1 Y 2.31, 1 Ac 2.48
O9 0.7620 0.1991 0.5634  1 Dy 2.27, 1 Y 2.29, 1 Ac 2.49
O10 0.7620 0.3009 0.0634  1 Dy 2.27, 1 Y 2.29, 1 Ac 2.49
O11 0.8655 0.6996 0.5636  1 Y 2.27, 1 Dy 2.28, 1 Ac 2.49
O12 0.8655 0.8004 0.0636  1 Y 2.27, 1 Dy 2.28, 1 Ac 2.49

Properties
Uncorrected energy: -166.968 eV/cell
Space-group type: P2_1/c, No. 14
Size of the total moment: 0.00 μB per atom
Crystal system: monoclinic
Volume: 326 Å³/cell
Formation energy (no corrections): -3.445 eV/atom


No. 2
First-principles (PBE-GGA) data for crystalline Rb2SnCl at its relaxed geometry, as listed in the Alexandria database.

a b c (Å): 8.0053 8.0053 8.0053
angles (deg): 110.07 110.07 108.28
Closest atoms and distances in Å follow each position.
Fractional coordinates of all 8 atoms:
Rb1 0.0658 0.1250 0.4408  2 Cl 3.11
Rb2 0.3750 0.9342 0.0592  2 Cl 3.11
Rb3 0.6842 0.6250 0.5592  2 Cl 3.11
Rb4 0.8750 0.3158 0.9408  2 Cl 3.11
Sn1 0.2500 0.7500 0.5000  4 Rb 3.83
Sn2 0.5000 0.5000 0.0000  4 Rb 3.83
Cl1 0.0000 0.0000 0.0000  4 Rb 3.11
Cl2 0.7500 0.2500 0.5000  4 Rb 3.11

Properties
Uncorrected energy: -20.236 eV/cell
Space-group type: I-42d, No. 122
Size of the total moment: 0.25 μB per atom
Crystal system: tetragonal
Volume: 395 Å³/cell
Energy above the most stable polymorph in this dataset: 0.000 eV per formula unit
Formation energy (no corrections): -0.583 eV/atom


> The lowest size of the total moment belongs to which entry?

Ac2DyYO6